Here is a geometry-optimized FeNiCl structure from Alexandria. Energies are from PBE-GGA.

Summary:
Theoretical density (Mg/m³): 5.53
Energy above the lowest structure with this stoichiometry (eV per atom): 0.105
Magnetization (μB/f.u.): 4.05
Raw formation energy (kJ per mole of atoms): 27.60

Cell: 3.134 5.105 11.272 Å, 90.00 90.00 90.00°
Space group Fmm2 (No. 42)
Unique sites:
Fe1 0.000 0.000 0.000 x4
Ni1 0.000 0.000 0.350 x4
Cl1 0.000 0.000 0.669 x4


Here is a geometry-optimized PrMg2Cu2Ge2 structure from Alexandria. Energies are from PBE-GGA.

Summary:
Theoretical density (Mg/m³): 5.78
Magnetization (μB/f.u.): 0.00
Total DFT energy (no corrections) (eV/f.u.): -28.288

Cell: 4.2995 4.2995 24.8706 Å, 90.00 90.00 120.00°
Space group R-3m (No. 166, hexagonal axes)
Unique sites:
Pr1 0.0000 0.0000 0.0000 x3
Mg1 0.0000 0.0000 0.1352 x6
Cu1 0.0000 0.0000 0.4207 x6
Ge1 0.0000 0.0000 0.2540 x6


Here is a geometry-optimized Cu2AsSe structure from Alexandria. Energies are from PBE-GGA.

Summary:
Theoretical density (Mg/m³): 6.54
Magnetization (μB/f.u.): 0.00
Raw formation energy (kJ per mole of atoms): 4.80

Cell: 7.923 2.775 6.504 Å, 90.00 93.97 90.00°
Space group Cm (No. 8)
Unique sites:
Cu1 0.000 0.000 0.000 x2
Cu2 0.195 0.500 0.782 x2
As1 0.408 0.000 0.623 x2
Se1 0.289 0.000 0.189 x2


Here is a geometry-optimized In2SiSnSe structure from Alexandria. Energies are from PBE-GGA.

Summary:
Theoretical density (Mg/m³): 4.61
Magnetization (μB/f.u.): 0.00
Raw formation energy (kJ per mole of atoms): 62.60

Cell: 5.707 5.707 5.035 Å, 90.00 90.00 90.00°
Space group P4/mmm (No. 123)
Unique sites:
In1 0.000 0.500 0.000 x2
Si1 0.000 0.000 0.500 x1
Sn1 0.000 0.000 0.000 x1
Se1 0.500 0.500 0.500 x1